<a>
Here is a relaxed IrW5 crystal from Alexandria via LeMat-Bulk. Energies are from GGA-PBE.

Lattice parameters (Å, degrees): 7.737 7.737 4.693 90.00 90.00 159.95
Positions (direct):
Ir: 0.000 0.000 0.000
W: 0.225 0.775 0.500
W: 0.334 0.666 0.000
W: 0.555 0.445 0.500
W: 0.659 0.341 0.000
W: 0.893 0.107 0.500

---

<b>
Here is a relaxed IrW5 crystal from Alexandria via LeMat-Bulk. Energies are from GGA-PBE.

Lattice parameters (Å, degrees): 4.875 4.875 4.668 90.00 90.00 120.00
Positions (direct):
Ir: 0.000 0.000 0.500
W: 0.331 0.331 0.000
W: 0.000 0.669 0.000
W: 0.669 0.000 0.000
W: 0.667 0.333 0.500
W: 0.333 0.667 0.500

---

Going by the energies, <a> is most stable and the next is 41 meV per atom up.

---

<a>
Here is a relaxed IrW5 crystal from Alexandria via LeMat-Bulk. Energies are from GGA-PBE.

Lattice parameters (Å, degrees): 5.195 5.195 5.195 60.00 60.00 60.00
Positions (direct):
Ir: 0.000 0.000 0.000
W: 0.624 0.624 0.128
W: 0.250 0.250 0.250
W: 0.624 0.624 0.624
W: 0.128 0.624 0.624
W: 0.624 0.128 0.624

---

<b>
Here is a relaxed IrW5 crystal from Alexandria via LeMat-Bulk. Energies are from GGA-PBE.

Lattice parameters (Å, degrees): 5.503 5.503 6.918 74.97 74.97 28.48
Positions (direct):
Ir: 0.002 0.002 0.997
W: 0.602 0.602 0.274
W: 0.333 0.333 0.321
W: 0.945 0.945 0.617
W: 0.670 0.670 0.671
W: 0.281 0.281 0.953

---

Going by the energies, <b> is most stable and the next is 200 meV per atom up.

---

<a>
Here is a relaxed Ir5W crystal from Alexandria via LeMat-Bulk. Energies are from GGA-PBE.

Lattice parameters (Å, degrees): 5.075 5.075 4.411 90.00 90.00 120.00
Positions (direct):
Ir: 0.000 0.500 0.500
Ir: 0.333 0.667 0.000
Ir: 0.500 0.000 0.500
Ir: 0.500 0.500 0.500
Ir: 0.667 0.333 0.000
W: 0.000 0.000 0.000

---

<b>
Here is a relaxed Ir5W crystal from Alexandria via LeMat-Bulk. Energies are from GGA-PBE.

Lattice parameters (Å, degrees): 2.772 5.242 6.522 76.26 90.00 105.33
Positions (direct):
Ir: 0.001 0.002 0.001
Ir: 0.386 0.772 0.729
Ir: 0.668 0.336 0.667
Ir: 0.058 0.116 0.384
Ir: 0.331 0.663 0.332
W: 0.722 0.444 0.054

---

Going by the energies, <b> is most stable and the next is 751 meV per atom up.

---

<a>
Here is a relaxed Ir5W crystal from Alexandria via LeMat-Bulk. Energies are from GGA-PBE.

Lattice parameters (Å, degrees): 2.781 7.324 4.423 90.00 90.00 79.06
Positions (direct):
Ir: 0.001 0.998 0.000
Ir: 0.667 0.667 0.000
Ir: 0.333 0.334 0.000
Ir: 0.553 0.894 0.500
Ir: 0.223 0.554 0.500
W: 0.890 0.220 0.500

---

<b>
Here is a relaxed Ir5W crystal from Alexandria via LeMat-Bulk. Energies are from GGA-PBE.

Lattice parameters (Å, degrees): 3.908 3.894 6.130 108.52 90.00 90.00
Positions (direct):
Ir: 0.000 0.660 0.320
Ir: 0.000 0.340 0.680
Ir: 0.500 0.500 0.000
Ir: 0.500 0.166 0.332
Ir: 0.500 0.834 0.668
W: 0.000 0.000 0.000

---

<c>
Here is a relaxed Ir5W crystal from Alexandria via LeMat-Bulk. Energies are from GGA-PBE.

Lattice parameters (Å, degrees): 5.099 5.099 5.099 60.00 60.00 60.00
Positions (direct):
Ir: 0.625 0.625 0.126
Ir: 0.250 0.250 0.250
Ir: 0.625 0.625 0.625
Ir: 0.126 0.625 0.625
Ir: 0.625 0.126 0.625
W: 0.000 0.000 0.000

---

Going by the energies, <b> is most stable and the next is 59 meV per atom up.

---

<a>
Here is a relaxed Ir3W5 crystal from Alexandria via LeMat-Bulk. Energies are from GGA-PBE.

Lattice parameters (Å, degrees): 5.616 5.616 3.928 90.00 90.00 90.97
Positions (direct):
Ir: 0.500 0.500 0.000
Ir: 0.250 0.250 0.500
Ir: 0.750 0.750 0.500
W: 0.000 0.000 0.000
W: 0.000 0.500 0.000
W: 0.500 0.000 0.000
W: 0.743 0.257 0.500
W: 0.257 0.743 0.500

---

<b>
Here is a relaxed Ir3W5 crystal from Alexandria via LeMat-Bulk. Energies are from GGA-PBE.

Lattice parameters (Å, degrees): 7.745 7.745 4.933 90.00 90.00 60.00
Positions (direct):
Ir: 0.592 0.408 0.750
Ir: 0.408 0.592 0.250
Ir: 0.408 0.000 0.750
Ir: 0.000 0.408 0.250
Ir: 0.592 0.000 0.250
Ir: 0.000 0.592 0.750
W: 0.776 0.224 0.250
W: 0.224 0.776 0.750
W: 0.224 0.000 0.250
W: 0.000 0.224 0.750
W: 0.667 0.667 0.000
W: 0.667 0.667 0.500
W: 0.333 0.333 0.000
W: 0.333 0.333 0.500
W: 0.776 0.000 0.750
W: 0.000 0.776 0.250

---

<c>
Here is a relaxed Ir3W5 crystal from Alexandria via LeMat-Bulk. Energies are from GGA-PBE.

Lattice parameters (Å, degrees): 5.010 7.403 7.822 97.12 111.48 70.22
Positions (direct):
Ir: 0.238 0.025 0.000
Ir: 0.763 0.975 0.000
Ir: 0.741 0.500 0.857
Ir: 0.260 0.500 0.144
Ir: 0.823 0.854 0.500
Ir: 0.178 0.146 0.500
W: 0.748 0.500 0.497
W: 0.253 0.500 0.503
W: 0.216 0.842 0.294
W: 0.784 0.158 0.706
W: 0.316 0.302 0.839
W: 0.685 0.698 0.162
W: 0.442 0.842 0.706
W: 0.558 0.158 0.294
W: 0.883 0.302 0.162
W: 0.118 0.698 0.839

---

Going by the energies, <a> is most stable and the next is 138 meV per atom up.

---

<a>
Here is a relaxed Y3IrW crystal from Alexandria via LeMat-Bulk. Energies are from GGA-PBE.

Lattice parameters (Å, degrees): 5.251 5.251 5.251 90.00 90.00 90.00
Positions (direct):
Y: 0.000 0.500 0.000
Y: 0.000 0.000 0.500
Y: 0.500 0.000 0.000
Ir: 0.000 0.000 0.000
W: 0.500 0.500 0.500

---

<b>
Here is a relaxed Y3IrW crystal from Alexandria via LeMat-Bulk. Energies are from GGA-PBE.

Lattice parameters (Å, degrees): 5.225 5.225 5.225 90.00 90.00 90.00
Positions (direct):
Y: 0.000 0.500 0.000
Y: 0.000 0.000 0.500
Y: 0.500 0.000 0.000
Ir: 0.500 0.500 0.500
W: 0.000 0.000 0.000

---

Going by the energies, <a> is most stable and the next is 322 meV per atom up.

---

<a>
Here is a relaxed YIrW crystal from Alexandria via LeMat-Bulk. Energies are from GGA-PBE.

Lattice parameters (Å, degrees): 4.613 4.613 3.119 90.00 90.00 120.00
Positions (direct):
Ir: 0.000 0.000 0.110
W: 0.333 0.667 0.222
Y: 0.667 0.333 0.668

---

<b>
Here is a relaxed YIrW crystal from Alexandria via LeMat-Bulk. Energies are from GGA-PBE.

Lattice parameters (Å, degrees): 6.411 6.411 3.118 75.92 75.93 28.15
Positions (direct):
Ir: 0.025 0.025 0.975
W: 0.641 0.641 0.359
Y: 0.334 0.334 0.666

---

<c>
Here is a relaxed YIrW crystal from Alexandria via LeMat-Bulk. Energies are from GGA-PBE.

Lattice parameters (Å, degrees): 4.526 4.526 4.526 60.00 60.00 60.00
Positions (direct):
Ir: 0.750 0.750 0.750
W: 0.000 0.000 0.000
Y: 0.500 0.500 0.500

---

Going by the energies, <b> is most stable and the next is 259 meV per atom up.

---

<a>
Here is a relaxed Zn2IrW crystal from Alexandria via LeMat-Bulk. Energies are from GGA-PBE.

Lattice parameters (Å, degrees): 4.904 4.904 2.764 90.00 90.00 115.85
Positions (direct):
Ir: 0.500 0.000 0.500
W: 0.000 0.500 0.500
Zn: 0.000 0.000 0.000
Zn: 0.500 0.500 0.000

---

<b>
Here is a relaxed Zn2IrW crystal from Alexandria via LeMat-Bulk. Energies are from GGA-PBE.

Lattice parameters (Å, degrees): 4.667 4.667 4.838 82.73 82.73 34.77
Positions (direct):
Ir: 0.500 0.500 0.521
W: 0.753 0.753 0.726
Zn: 0.000 0.000 0.024
Zn: 0.247 0.247 0.229

---

<c>
Here is a relaxed Zn2IrW crystal from Alexandria via LeMat-Bulk. Energies are from GGA-PBE.

Lattice parameters (Å, degrees): 3.761 2.816 6.299 63.55 90.00 90.00
Positions (direct):
Ir: 0.000 0.484 0.515
W: 0.500 0.767 0.732
Zn: 0.000 0.985 0.016
Zn: 0.500 0.264 0.237

---

<d>
Here is a relaxed Zn2IrW crystal from Alexandria via LeMat-Bulk. Energies are from GGA-PBE.

Lattice parameters (Å, degrees): 2.838 4.653 4.542 90.00 90.00 90.00
Positions (direct):
Ir: 0.500 0.000 0.500
W: 0.000 0.500 0.500
Zn: 0.000 0.000 0.000
Zn: 0.500 0.500 0.000

---

Going by the energies, <c> is most stable and the next is 62 meV per atom up.